(1)
# NdYPa | Alexandria via LeMat-Bulk | PBE | relaxed
# offset from the most stable computed form: 0.018 eV per atom
# density of states at the Fermi level: 9.60 states/eV/cell
data_NdYPa
_chemical_formula_sum 'Nd2 Y2 Pa2'
_cell_length_a 3.419
_cell_length_b 3.419
_cell_length_c 15.601
_cell_angle_alpha 90.00
_cell_angle_beta 90.00
_cell_angle_gamma 90.00
_symmetry_space_group_name_H-M 'I 4 m m'
_symmetry_Int_Tables_number 107
_symmetry_space_group_name_Hall 'I 4 -2'
loop_
_atom_site_label
_atom_site_type_symbol
_atom_site_fract_x
_atom_site_fract_y
_atom_site_fract_z
Nd1 Nd 0.000 0.000 0.000
Y1 Y 0.000 0.000 0.309
Pa1 Pa 0.000 0.000 0.656

=====

(2)
# CoAg4 | Alexandria via LeMat-Bulk | PBE | relaxed
# offset from the most stable computed form: 0.619 eV per atom
# density of states at the Fermi level: 5.50 states/eV/cell
data_CoAg4
_chemical_formula_sum 'Co1 Ag4'
_cell_length_a 4.788
_cell_length_b 4.788
_cell_length_c 4.788
_cell_angle_alpha 90.00
_cell_angle_beta 90.00
_cell_angle_gamma 90.00
_symmetry_space_group_name_H-M 'P m -3 m'
_symmetry_Int_Tables_number 221
_symmetry_space_group_name_Hall '-P 4 2 3'
loop_
_atom_site_label
_atom_site_type_symbol
_atom_site_fract_x
_atom_site_fract_y
_atom_site_fract_z
Co1 Co 0.000 0.000 0.000
Ag1 Ag 0.000 0.000 0.500
Ag2 Ag 0.500 0.500 0.500

=====

(3)
# BaRuCl2 | Alexandria via LeMat-Bulk | PBE | relaxed
# offset from the most stable computed form: 0.677 eV per atom
# density of states at the Fermi level: 27.11 states/eV/cell
data_BaRuCl2
_chemical_formula_sum 'Ba4 Ru4 Cl8'
_cell_length_a 7.338
_cell_length_b 7.338
_cell_length_c 7.338
_cell_angle_alpha 90.00
_cell_angle_beta 90.00
_cell_angle_gamma 90.00
_symmetry_space_group_name_H-M 'F -4 3 m'
_symmetry_Int_Tables_number 216
_symmetry_space_group_name_Hall 'F -4 2 3'
loop_
_atom_site_label
_atom_site_type_symbol
_atom_site_fract_x
_atom_site_fract_y
_atom_site_fract_z
Ba1 Ba 0.000 0.000 0.000
Ru1 Ru 0.250 0.250 0.750
Cl1 Cl 0.000 0.000 0.500
Cl2 Cl 0.250 0.250 0.250

=====

(4)
# NaAc4Cd5 | Alexandria via LeMat-Bulk | PBE | relaxed
# density of states at the Fermi level: 10.13 states/eV/cell
# raw total energy: -2.475 eV per atom
data_NaAc4Cd5
_chemical_formula_sum 'Na1 Ac4 Cd5'
_cell_length_a 4.049
_cell_length_b 4.049
_cell_length_c 19.912
_cell_angle_alpha 90.00
_cell_angle_beta 90.00
_cell_angle_gamma 90.00
_symmetry_space_group_name_H-M 'P 4/m m m'
_symmetry_Int_Tables_number 123
_symmetry_space_group_name_Hall '-P 4 2'
loop_
_atom_site_label
_atom_site_type_symbol
_atom_site_fract_x
_atom_site_fract_y
_atom_site_fract_z
Na1 Na 0.000 0.000 0.000
Ac1 Ac 0.000 0.000 0.191
Ac2 Ac 0.000 0.000 0.396
Cd1 Cd 0.500 0.500 0.086
Cd2 Cd 0.500 0.500 0.294
Cd3 Cd 0.500 0.500 0.500

=====

(5)
# YNiHgMo2 | Alexandria via LeMat-Bulk | PBE | relaxed
# density of states at the Fermi level: 7.43 states/eV/cell
# raw total energy: -6.050 eV per atom
data_YNiHgMo2
_chemical_formula_sum 'Y1 Ni1 Hg1 Mo2'
_cell_length_a 4.602
_cell_length_b 4.602
_cell_length_c 4.876
_cell_angle_alpha 90.00
_cell_angle_beta 90.00
_cell_angle_gamma 90.00
_symmetry_space_group_name_H-M 'P 4/m m m'
_symmetry_Int_Tables_number 123
_symmetry_space_group_name_Hall '-P 4 2'
loop_
_atom_site_label
_atom_site_type_symbol
_atom_site_fract_x
_atom_site_fract_y
_atom_site_fract_z
Y1 Y 0.000 0.000 0.000
Ni1 Ni 0.500 0.500 0.500
Hg1 Hg 0.500 0.500 0.000
Mo1 Mo 0.000 0.500 0.500

=====

(6)
# Hg2RhW | Alexandria via LeMat-Bulk | PBE | relaxed
# offset from the most stable computed form: 0.267 eV per atom
# density of states at the Fermi level: 7.22 states/eV/cell
data_Hg2RhW
_chemical_formula_sum 'Hg4 Rh2 W2'
_cell_length_a 9.234
_cell_length_b 2.908
_cell_length_c 5.420
_cell_angle_alpha 90.00
_cell_angle_beta 97.17
_cell_angle_gamma 90.00
_symmetry_space_group_name_H-M 'C 1 m 1'
_symmetry_Int_Tables_number 8
loop_
_symmetry_equiv_pos_as_xyz
'x,y,z'
'x,-y,z'
'x+1/2,y+1/2,z'
'x+1/2,-y+1/2,z'
loop_
_atom_site_label
_atom_site_type_symbol
_atom_site_fract_x
_atom_site_fract_y
_atom_site_fract_z
Hg1 Hg 0.000 0.000 0.000
Hg2 Hg 0.243 0.000 0.744
Rh1 Rh 0.250 0.500 0.289
W1 W 0.493 0.000 0.462

=====

Repeat the second record exactly.
# CoAg4 | Alexandria via LeMat-Bulk | PBE | relaxed
# offset from the most stable computed form: 0.619 eV per atom
# density of states at the Fermi level: 5.50 states/eV/cell
data_CoAg4
_chemical_formula_sum 'Co1 Ag4'
_cell_length_a 4.788
_cell_length_b 4.788
_cell_length_c 4.788
_cell_angle_alpha 90.00
_cell_angle_beta 90.00
_cell_angle_gamma 90.00
_symmetry_space_group_name_H-M 'P m -3 m'
_symmetry_Int_Tables_number 221
_symmetry_space_group_name_Hall '-P 4 2 3'
loop_
_atom_site_label
_atom_site_type_symbol
_atom_site_fract_x
_atom_site_fract_y
_atom_site_fract_z
Co1 Co 0.000 0.000 0.000
Ag1 Ag 0.000 0.000 0.500
Ag2 Ag 0.500 0.500 0.500

=====

> Look up the density of states at the Fermi level of the first one.

9.60 states/eV/cell

=====

> What is the density of states at the Fermi level in the second record?

5.50 states/eV/cell

=====

> What is the density of states at the Fermi level in the third record?

27.11 states/eV/cell